[1]
Here is ZrBe2Re after structural relaxation from the Alexandria database. Energies are from PBE-GGA.

abc: 2.804 2.804 6.963
angles: 90.00 90.00 99.33
Fractional coordinates of all 4 atoms:
Re (0.000, 0.000, 0.441)
Zr (0.500, 0.500, 0.775)
Be (0.500, 0.500, 0.219)
Be (0.000, 0.000, 0.066)

Properties
- ΔH_f (0 K) (meV/atom) = 153.0
- volume (Å³ per cell) = 54.0
- SG = Cmm2
- electronic total energy (eV per atom) = -6.959
- energy above the most stable polymorph in this dataset (meV/atom) = 383

=====

[2]
Here is ZrBeRe3 after structural relaxation from the Alexandria database. Energies are from PBE-GGA.

abc: 4.251 4.251 4.251
angles: 90.00 90.00 90.00
Fractional coordinates of all 5 atoms:
Zr (0.500, 0.500, 0.500)
Re (0.000, 0.000, 0.500)
Re (0.500, 0.000, 0.000)
Be (0.000, 0.000, 0.000)
Re (0.000, 0.500, 0.000)

Properties
- ΔH_f (0 K) (meV/atom) = 399.9
- volume (Å³ per cell) = 76.8
- SG = Pm-3m
- electronic total energy (eV per atom) = -9.524
- energy above the most stable polymorph in this dataset (meV/atom) = 0

=====

[3]
Here is ZrBe2Re after structural relaxation from the Alexandria database. Energies are from PBE-GGA.

abc: 4.856 4.856 4.856
angles: 140.49 130.33 65.25
Fractional coordinates of all 4 atoms:
Be (0.793, 0.293, 0.500)
Be (0.967, 0.967, 0.000)
Re (0.506, 0.506, 0.000)
Zr (0.234, 0.734, 0.500)

Properties
- ΔH_f (0 K) (meV/atom) = 61.3
- volume (Å³ per cell) = 54.8
- SG = Imm2
- electronic total energy (eV per atom) = -7.051
- energy above the most stable polymorph in this dataset (meV/atom) = 292

=====

[4]
Here is ZrBe2Re after structural relaxation from the Alexandria database. Energies are from PBE-GGA.

abc: 4.485 4.485 2.738
angles: 90.00 90.00 103.68
Fractional coordinates of all 4 atoms:
Be (0.000, 0.000, 0.000)
Be (0.500, 0.500, 0.000)
Re (0.500, 0.000, 0.500)
Zr (0.000, 0.500, 0.500)

Properties
- ΔH_f (0 K) (meV/atom) = 84.1
- volume (Å³ per cell) = 53.5
- SG = Cmmm
- electronic total energy (eV per atom) = -7.028
- energy above the most stable polymorph in this dataset (meV/atom) = 314

=====

[5]
Here is ZrBeRe2 after structural relaxation from the Alexandria database. Energies are from PBE-GGA.

abc: 3.237 3.237 5.874
angles: 90.00 90.00 90.00
Fractional coordinates of all 4 atoms:
Zr (0.500, 0.500, 0.250)
Be (0.500, 0.500, 0.750)
Re (0.000, 0.000, 0.546)
Re (0.000, 0.000, 0.954)

Properties
- ΔH_f (0 K) (meV/atom) = 26.6
- volume (Å³ per cell) = 61.6
- SG = P4/mmm
- electronic total energy (eV per atom) = -9.266

=====

[6]
Here is Zr2BeRe after structural relaxation from the Alexandria database. Energies are from PBE-GGA.

abc: 5.428 5.428 5.428
angles: 144.05 130.89 62.35
Fractional coordinates of all 4 atoms:
Re (0.272, 0.772, 0.500)
Be (0.462, 0.462, 0.000)
Zr (0.747, 0.247, 0.500)
Zr (0.019, 0.019, 0.000)

Properties
- ΔH_f (0 K) (meV/atom) = 3.7
- volume (Å³ per cell) = 70.2
- SG = Imm2
- electronic total energy (eV per atom) = -8.314

=====

[7]
Here is ZrBeRe2 after structural relaxation from the Alexandria database. Energies are from PBE-GGA.

abc: 3.916 3.916 9.385
angles: 77.96 77.96 90.00
Fractional coordinates of all 8 atoms:
Re (0.875, 0.807, 0.750)
Zr (0.750, 0.250, 0.500)
Be (0.250, 0.750, 0.500)
Re (0.557, 0.125, 0.250)
Re (0.193, 0.625, 0.250)
Zr (0.000, 0.000, 0.000)
Be (0.500, 0.500, 0.000)
Re (0.375, 0.443, 0.750)

Properties
- ΔH_f (0 K) (meV/atom) = 481.3
- volume (Å³ per cell) = 137.5
- SG = I-42d
- electronic total energy (eV per atom) = -8.811

=====

[8]
Here is ZrBe17Re after structural relaxation from the Alexandria database. Energies are from PBE-GGA.

abc: 5.562 5.562 5.562
angles: 83.15 83.15 83.15
Fractional coordinates of all 19 atoms:
Be (0.700, 0.006, 0.293)
Be (0.006, 0.700, 0.293)
Be (0.293, 0.700, 0.006)
Be (0.165, 0.649, 0.649)
Re (0.339, 0.339, 0.339)
Be (0.906, 0.906, 0.906)
Be (0.649, 0.165, 0.649)
Be (0.103, 0.103, 0.103)
Be (0.006, 0.293, 0.700)
Zr (0.659, 0.659, 0.659)
Be (0.293, 0.006, 0.700)
Be (0.649, 0.649, 0.165)
Be (0.997, 0.997, 0.503)
Be (0.700, 0.293, 0.006)
Be (0.344, 0.344, 0.846)
Be (0.846, 0.344, 0.344)
Be (0.344, 0.846, 0.344)
Be (0.503, 0.997, 0.997)
Be (0.997, 0.503, 0.997)

Properties
- ΔH_f (0 K) (meV/atom) = -163.4
- volume (Å³ per cell) = 168.6
- SG = R3m
- electronic total energy (eV per atom) = -4.602